Entry 1:
A plane-wave DFT calculation with GGA-PBE was carried out for a relaxed Ac2BeGa2Pt4 crystal.

Results
As for the magnetization: 0.0 μB per formula unit. The calculation puts the density of states at the Fermi level at 2.7 states/eV per cell. The raw total energy comes out at -5.448 eV/atom. Its energy relative to the elements is -0.7635 eV per atom.

extended XYZ file:
```
9
Lattice="-5.104 -3.501 -1.486 4.606 0.544 -4.360 3.931 -2.227 4.484" Properties=species:S:1:pos:R:3 pbc="T T T"
Ac 1.885 -1.900 -2.892
Ac 1.548 -3.285 1.530
Be 0.000 0.000 0.000
Pt 4.437 -0.150 -2.147
Pt 4.100 -1.533 2.271
Pt -0.418 -2.174 -0.713
Pt 3.851 -3.011 -0.649
Ga 5.638 -1.112 0.082
Ga 2.898 -0.571 0.042
```


Entry 2:
A plane-wave DFT calculation with GGA-PBE was carried out for a relaxed Ac3Be2GaPt9 crystal.

Results
As for the magnetization: 0.0 μB per formula unit. The calculation puts the density of states at the Fermi level at 6.1 states/eV per cell. The raw total energy comes out at -5.935 eV/atom. Its energy relative to the elements is -0.7900 eV per atom.

extended XYZ file:
```
15
Lattice="-6.476 2.033 -1.275 4.225 -1.555 -5.237 -2.187 -6.808 0.257" Properties=species:S:1:pos:R:3 pbc="T T T"
Be -4.790 -5.019 -2.375
Be 0.352 -1.312 -3.880
Pt 2.113 -0.777 -2.618
Pt 1.579 -3.111 -4.436
Pt -3.238 1.016 -0.637
Pt -4.087 -3.930 -4.211
Pt -0.351 -2.400 -2.044
Pt -1.125 0.239 -3.256
Pt -1.379 -2.182 -5.019
Pt -6.017 -3.220 -1.819
Pt -3.059 -4.148 -1.236
Ga -1.094 -3.404 0.128
Ac 0.000 0.000 0.000
Ac -0.807 -4.918 -3.744
Ac -3.631 -1.412 -2.511
```


Entry 3:
A plane-wave DFT calculation with GGA-PBE was carried out for a relaxed AcBeGaRh3 crystal.

Results
As for the magnetization: 0.0 μB per formula unit. The calculation puts the density of states at the Fermi level at 9.0 states/eV per cell. The raw total energy comes out at -6.005 eV/atom. Its energy relative to the elements is -0.5186 eV per atom.

extended XYZ file:
```
12
Lattice="6.049 0.000 0.000 0.000 6.020 0.000 0.000 -3.010 5.968" Properties=species:S:1:pos:R:3 pbc="T T T"
Rh 1.512 0.000 2.132
Rh 3.024 4.471 0.000
Rh 4.537 3.010 3.836
Rh 0.000 1.549 0.000
Rh 3.024 1.549 0.000
Rh 0.000 4.471 0.000
Ac 1.512 3.010 2.759
Ac 4.537 0.000 3.209
Be 4.537 0.000 0.099
Be 1.512 3.010 5.869
Ga 4.537 3.010 1.394
Ga 1.512 0.000 4.573
```


Entry 4:
A plane-wave DFT calculation with GGA-PBE was carried out for a relaxed AcBeGa2Ru2 crystal.

Results
As for the magnetization: 0.0 μB per formula unit. The calculation puts the density of states at the Fermi level at 2.9 states/eV per cell. The raw total energy comes out at -5.836 eV/atom. Its energy relative to the elements is -0.4298 eV per atom.

extended XYZ file:
```
6
Lattice="4.371 0.000 0.000 0.000 4.371 0.000 0.000 0.000 5.732" Properties=species:S:1:pos:R:3 pbc="T T T"
Ga 2.186 2.186 4.326
Ga 2.186 2.186 1.406
Ru 0.000 2.186 0.000
Ru 2.186 0.000 0.000
Ac 0.000 0.000 2.866
Be 0.000 0.000 0.000
```


Entry 5:
A plane-wave DFT calculation with GGA-PBE was carried out for a relaxed Ac2Be4GaSi3 crystal.

Results
The value obtained for the formation energy from raw total energies is -0.2996 eV per atom. As for the magnetization: 0.0 μB per formula unit. The calculation puts the density of states at the Fermi level at 1.5 states/eV per cell. The raw total energy comes out at -4.541 eV/atom.

extended XYZ file:
```
10
Lattice="-1.612 -3.284 2.066 3.863 -1.150 1.186 -0.841 5.486 8.062" Properties=species:S:1:pos:R:3 pbc="T T T"
Be -1.335 1.807 6.101
Be 1.126 -2.217 1.626
Be 1.619 1.462 3.587
Be 0.000 0.000 0.000
Ga 0.705 0.526 5.657
Ac -1.012 -0.299 3.007
Ac 1.296 3.567 6.681
Si -0.421 2.743 4.031
Si 1.828 0.099 1.584
Si -1.544 3.169 8.104
```


Entry 6:
A plane-wave DFT calculation with GGA-PBE was carried out for a relaxed Ac2BeZn3Ga4 crystal.

Results
As for the magnetization: 0.0 μB per formula unit. The calculation puts the density of states at the Fermi level at 3.1 states/eV per cell. The raw total energy comes out at -3.192 eV/atom. Its energy relative to the elements is -0.4045 eV per atom.

extended XYZ file:
```
10
Lattice="-2.191 2.536 2.838 0.118 -3.228 2.976 9.179 3.766 3.722" Properties=species:S:1:pos:R:3 pbc="T T T"
Ac 6.867 1.179 4.249
Ac 1.275 2.241 2.380
Ga 3.537 -0.187 2.898
Ga 0.000 0.000 0.000
Ga -1.037 -0.346 2.907
Ga 4.605 3.607 3.731
Zn 1.311 -1.100 1.995
Zn 6.831 4.520 4.633
Zn 4.590 1.883 1.861
Be 3.553 1.537 4.768
```


Entry 7:
A plane-wave DFT calculation with GGA-PBE was carried out for a relaxed Ac2GdBe crystal.

Results
As for the magnetization: 7.1 μB per formula unit. The calculation puts the density of states at the Fermi level at 5.0 states/eV per cell. The raw total energy comes out at -5.743 eV/atom. Its energy relative to the elements is 0.7634 eV per atom.

extended XYZ file:
```
4
Lattice="-1.895 0.148 3.248 -3.719 -0.576 0.037 -0.014 -12.026 2.721" Properties=species:S:1:pos:R:3 pbc="T T T"
Ac -0.484 -9.019 2.309
Ac -5.144 -3.436 3.697
Be 0.000 0.000 0.000
Gd -2.814 -6.227 3.003
```


Entry 8:
A plane-wave DFT calculation with GGA-PBE was carried out for a relaxed AcGdBeIr crystal.

Results
As for the magnetization: 7.0 μB per formula unit. The calculation puts the density of states at the Fermi level at 1.8 states/eV per cell. The raw total energy comes out at -7.844 eV/atom. Its energy relative to the elements is -0.1500 eV per atom.

extended XYZ file:
```
4
Lattice="-0.333 -3.735 -3.459 -2.990 -4.038 0.885 -4.300 -0.625 -2.674" Properties=species:S:1:pos:R:3 pbc="T T T"
Be -1.906 -2.100 -1.312
Ir -5.718 -6.299 -3.936
Gd -3.812 -4.199 -2.624
Ac 0.000 0.000 0.000
```


> Look up the magnetization of the third one.

0.0 μB per formula unit